Record 1
# PBE AlAsCSe2, relaxed
# formation energy from raw total energies = 0.992 eV per atom
data_AlAsCSe2
_space_group_name_H-M_alt 'P 1'
_space_group_IT_number 1
_space_group_name_Hall 'P 1'
_cell_length_a 4.3819
_cell_length_b 4.3819
_cell_length_c 4.4897
_cell_angle_alpha 90.00
_cell_angle_beta 90.00
_cell_angle_gamma 90.00
loop_
_atom_site_label
_atom_site_type_symbol
_atom_site_fract_x
_atom_site_fract_y
_atom_site_fract_z
_atom_site_occupancy
Al1 Al 0.0000 0.0000 0.0000 1
As1 As 0.5000 0.5000 0.0000 1
C1 C 0.5000 0.5000 0.5000 1
Se1 Se 0.0000 0.5000 0.5000 1
Se2 Se 0.5000 0.0000 0.5000 1

Record 2
# PBE AlTc2AsC, relaxed
# energy of formation = 1.517 eV per atom
data_AlTc2AsC
_space_group_name_H-M_alt 'P 1'
_space_group_IT_number 1
_space_group_name_Hall 'P 1'
_cell_length_a 4.6852
_cell_length_b 4.6852
_cell_length_c 3.7463
_cell_angle_alpha 90.00
_cell_angle_beta 90.00
_cell_angle_gamma 90.00
loop_
_atom_site_label
_atom_site_type_symbol
_atom_site_fract_x
_atom_site_fract_y
_atom_site_fract_z
_atom_site_occupancy
Al1 Al 0.0000 0.0000 0.0000 1
Tc1 Tc 0.0000 0.5000 0.5000 1
Tc2 Tc 0.5000 0.0000 0.5000 1
As1 As 0.5000 0.5000 0.5000 1
C1 C 0.5000 0.5000 0.0000 1

Record 3
# PBE CaAl4As, relaxed
# energy of formation = -0.025 eV per atom
data_CaAl4As
_space_group_name_H-M_alt 'P 1'
_space_group_IT_number 1
_space_group_name_Hall 'P 1'
_cell_length_a 5.5385
_cell_length_b 5.5385
_cell_length_c 5.5385
_cell_angle_alpha 60.00
_cell_angle_beta 60.00
_cell_angle_gamma 60.00
loop_
_atom_site_label
_atom_site_type_symbol
_atom_site_fract_x
_atom_site_fract_y
_atom_site_fract_z
_atom_site_occupancy
Ca1 Ca 0.0000 0.0000 0.0000 1
Al1 Al 0.1264 0.6245 0.6245 1
Al2 Al 0.6245 0.1264 0.6245 1
Al3 Al 0.6245 0.6245 0.1264 1
Al4 Al 0.6245 0.6245 0.6245 1
As1 As 0.2500 0.2500 0.2500 1